(1)
Density functional theory data (PBE-GGA) for a relaxed Tb12Tl3Ni5 crystal.

abc: 14.5270 14.5270 14.5270
angles: 109.47 109.47 109.47
Sites, in units of the cell vectors:
Tb  0.5867  0.8808  0.4119
Ni  0.5000  0.5000  0.0000
Tb  0.4133  0.1192  0.5881
Tb  0.0310  0.6192  0.7059
Tl  0.8750  0.7500  0.1250
Tb  0.3252  0.5310  0.4119
Tb  0.6748  0.4690  0.5881
Tb  0.2941  0.4133  0.8252
Tb  0.9133  0.0881  0.6192
Tb  0.8808  0.2941  0.4690
Tb  0.5310  0.3252  0.9119
Tb  0.9690  0.5881  0.1748
Ni  0.5000  0.0000  0.5000
Ni  0.0000  0.5000  0.0000
Tb  0.2059  0.6748  0.0867
Ni  0.6250  0.8750  0.2500
Tb  0.1192  0.4133  0.0881
Tb  0.9119  0.0867  0.8808
Tb  0.8252  0.9119  0.0310
Tb  0.4690  0.7941  0.8808
Tl  0.2500  0.6250  0.8750
Tb  0.7059  0.5867  0.1748
Tb  0.9690  0.3808  0.2941
Tl  0.1250  0.2500  0.8750
Ni  0.7500  0.1250  0.8750
Ni  0.5000  0.5000  0.5000
Tb  0.0881  0.1748  0.4690
Tb  0.5881  0.9690  0.6748
Tb  0.3252  0.7941  0.4133
Tl  0.3750  0.7500  0.6250
Tl  0.1250  0.8750  0.7500
Ni  0.0000  0.5000  0.5000
Tb  0.6192  0.5881  0.9133
Tb  0.5881  0.6192  0.4133
Tb  0.8252  0.9133  0.2941
Tl  0.2500  0.1250  0.3750
Tl  0.6250  0.2500  0.3750
Ni  0.2500  0.8750  0.1250
Tb  0.6192  0.0310  0.2059
Tb  0.2941  0.8808  0.9690
Tl  0.6250  0.3750  0.7500
Ni  0.1250  0.7500  0.3750
Tb  0.8808  0.5867  0.9119
Tl  0.7500  0.8750  0.6250
Tb  0.9133  0.8252  0.7941
Tb  0.1748  0.0867  0.7059
Ni  0.8750  0.6250  0.7500
Tb  0.4119  0.3808  0.5867
Tb  0.1748  0.0881  0.9690
Tb  0.0881  0.9133  0.1192
Tb  0.4119  0.0310  0.3252
Tb  0.0867  0.1748  0.2059
Tb  0.4690  0.6748  0.0881
Tl  0.8750  0.1250  0.2500
Ni  0.3750  0.2500  0.1250
Ni  0.0000  0.0000  0.0000
Tb  0.5310  0.2059  0.1192
Ni  0.7500  0.6250  0.3750
Ni  0.1250  0.3750  0.2500
Ni  0.0000  0.0000  0.5000
Ni  0.6250  0.7500  0.8750
Tb  0.2059  0.5310  0.6192
Tb  0.3808  0.9690  0.7941
Tb  0.7941  0.4690  0.3808
Ni  0.2500  0.3750  0.6250
Tb  0.0867  0.9119  0.3808
Tb  0.1192  0.7059  0.5310
Ni  0.3750  0.1250  0.7500
Tl  0.7500  0.3750  0.1250
Tb  0.3808  0.4119  0.0867
Ni  0.5000  0.0000  0.0000
Tb  0.6748  0.2059  0.5867
Tl  0.3750  0.6250  0.2500
Tb  0.0310  0.4119  0.8252
Tb  0.4133  0.2941  0.3252
Tb  0.9119  0.8252  0.5310
Tb  0.7059  0.1192  0.0310
Tb  0.5867  0.7059  0.6748
Tb  0.7941  0.3252  0.9133
Ni  0.8750  0.2500  0.6250

Calculated values
E ... -4.59 eV per atom
Fermi-level density of states ... 1.15 states/eV/atom
Space group ... No. 230
Formation energy ... -0.7 kJ per mole of atoms

=====

(2)
Density functional theory data (PBE-GGA) for a relaxed Tb2Pr2In3 crystal.

abc: 4.6698 3.5336 12.5689
angles: 90.00 79.29 90.00
Sites, in units of the cell vectors:
In  0.0000  0.0000  0.0000
Pr  0.5718  0.5000  0.8564
Tb  0.2961  0.5000  0.4077
Pr  0.4282  0.5000  0.1436
Tb  0.7039  0.5000  0.5923
In  0.8501  0.0000  0.2997
In  0.1499  0.0000  0.7003

Calculated values
E ... -4.18 eV per atom
Fermi-level density of states ... 1.03 states/eV/atom
Space group ... No. 65
Formation energy ... -30.7 kJ per mole of atoms

=====

(3)
Density functional theory data (PBE-GGA) for a relaxed Pm3Ga2Pb crystal.

abc: 3.5249 3.5249 12.7191
angles: 90.00 90.00 90.00
Sites, in units of the cell vectors:
Ga  0.5000  0.5000  0.1594
Pm  0.0000  0.0000  0.3126
Ga  0.5000  0.5000  0.8406
Pm  0.0000  0.0000  0.6874
Pb  0.5000  0.5000  0.5000
Pm  0.0000  0.0000  0.0000

Calculated values
E ... -4.53 eV per atom
Fermi-level density of states ... 0.68 states/eV/atom
Space group ... No. 123
Formation energy ... -51.1 kJ per mole of atoms

=====

Among the records above, which one has the highest formation energy? Tb12Tl3Ni5